1.
CsLaAuN2 | Alexandria | PBE | optimized geometry; formation energy (no corrections) = 1566.4 meV/atom
1.0
4.569 0.000 0.000
0.000 4.569 0.000
0.000 0.000 5.750
Cs La Au N
1 1 1 2
Cartesian
0.000 0.000 0.000
2.285 2.285 2.875
0.000 0.000 2.875
0.000 2.285 0.000
2.285 0.000 0.000

=====

2.
Tb6Cu5Ir | Alexandria | PBE | optimized geometry; formation energy = -4.3 eV per formula unit
1.0
7.767 -3.489 0.000
7.767 3.489 0.000
-1.551 0.000 4.662
Tb Cu Ir
6 5 1
Cartesian
4.701 1.767 1.570
7.767 1.781 0.000
9.283 1.767 3.092
4.701 -1.767 1.570
7.767 -1.781 0.000
9.283 -1.767 3.092
2.396 0.000 0.794
3.895 0.000 3.891
6.992 0.000 2.331
10.089 0.000 0.771
11.588 0.000 3.868
-0.775 0.000 2.331

=====

Number 1: DOS(E_F) 3.594 states/eV/f.u.. Number 2: DOS(E_F) 8.820 states/eV/f.u..